Computed, not measured: Y2HgAs after structural relaxation at the PBE level of DFT.

## Properties
Volume   100.21 Å³/f.u.
ΔH_f (0 K)   -0.85 eV per atom
Excess energy over the best structure of this formula in the dataset   102 meV per atom
SG   Amm2, No. 38

Lattice parameters (Å, degrees): 5.998 5.998 4.184 90.00 90.00 41.74
Fractional positions:
Y (0.012, 0.012, 0.125)
Y (0.734, 0.734, 0.625)
As (0.471, 0.471, 0.625)
Hg (0.283, 0.283, 0.125)

***

Computed, not measured: Y2HgAs after structural relaxation at the PBE level of DFT.

## Properties
Volume   96.80 Å³/f.u.
ΔH_f (0 K)   -0.69 eV per atom
Excess energy over the best structure of this formula in the dataset   263 meV per atom
SG   I4/mmm, No. 139

Lattice parameters (Å, degrees): 5.341 5.341 5.341 125.76 125.76 80.29
Fractional positions:
Y (0.000, 0.000, 0.000)
Y (0.500, 0.500, 0.000)
As (0.250, 0.750, 0.500)
Hg (0.750, 0.250, 0.500)

***

Computed, not measured: YHgAs after structural relaxation at the PBE level of DFT.

## Properties
Volume   77.87 Å³/f.u.
ΔH_f (0 K)   -0.70 eV per atom
Excess energy over the best structure of this formula in the dataset   0 meV per atom
SG   P3m1, No. 156

Lattice parameters (Å, degrees): 4.247 4.247 4.986 90.00 90.00 120.00
Fractional positions:
Y (0.333, 0.667, 0.705)
As (0.000, 0.000, 0.993)
Hg (0.667, 0.333, 0.302)

***

Computed, not measured: YHgAs3 after structural relaxation at the PBE level of DFT.

## Properties
Volume   135.48 Å³/f.u.
ΔH_f (0 K)   0.42 eV per atom
Excess energy over the best structure of this formula in the dataset   33 meV per atom
SG   Pm-3m, No. 221

Lattice parameters (Å, degrees): 5.136 5.136 5.136 90.00 90.00 90.00
Fractional positions:
Y (0.500, 0.500, 0.500)
As (0.000, 0.500, 0.000)
As (0.000, 0.000, 0.500)
As (0.500, 0.000, 0.000)
Hg (0.000, 0.000, 0.000)

***

Computed, not measured: YHgAs after structural relaxation at the PBE level of DFT.

## Properties
Volume   80.44 Å³/f.u.
ΔH_f (0 K)   -0.42 eV per atom
Excess energy over the best structure of this formula in the dataset   284 meV per atom
SG   F-43m, No. 216

Lattice parameters (Å, degrees): 4.845 4.845 4.845 60.00 60.00 60.00
Fractional positions:
Y (0.500, 0.500, 0.500)
As (0.750, 0.750, 0.750)
Hg (0.000, 0.000, 0.000)

***

Computed, not measured: YHgAs2 after structural relaxation at the PBE level of DFT.

## Properties
Volume   90.93 Å³/f.u.
ΔH_f (0 K)   -0.24 eV per atom
SG   F-43m, No. 216

Lattice parameters (Å, degrees): 5.047 5.047 5.047 60.00 60.00 60.00
Fractional positions:
Y (0.750, 0.750, 0.750)
As (0.000, 0.000, 0.000)
As (0.250, 0.250, 0.250)
Hg (0.500, 0.500, 0.500)

***

Computed, not measured: Y2HgAs after structural relaxation at the PBE level of DFT.

## Properties
Volume   109.59 Å³/f.u.
ΔH_f (0 K)   -0.73 eV per atom
Excess energy over the best structure of this formula in the dataset   219 meV per atom
SG   Imm2, No. 44

Lattice parameters (Å, degrees): 7.625 7.625 7.625 151.14 149.10 42.78
Fractional positions:
Y (0.974, 0.974, 0.000)
Y (0.697, 0.197, 0.500)
As (0.537, 0.537, 0.000)
Hg (0.293, 0.793, 0.500)

***

Computed, not measured: YHgAs3 after structural relaxation at the PBE level of DFT.

## Properties
Volume   162.32 Å³/f.u.
ΔH_f (0 K)   0.39 eV per atom
Excess energy over the best structure of this formula in the dataset   0 meV per atom
SG   Pm-3m, No. 221

Lattice parameters (Å, degrees): 5.455 5.455 5.455 90.00 90.00 90.00
Fractional positions:
Y (0.000, 0.000, 0.000)
As (0.000, 0.500, 0.000)
As (0.000, 0.000, 0.500)
As (0.500, 0.000, 0.000)
Hg (0.500, 0.500, 0.500)

***

Computed, not measured: Y4HgAs after structural relaxation at the PBE level of DFT.

## Properties
Volume   171.92 Å³/f.u.
ΔH_f (0 K)   0.27 eV per atom
SG   F-43m, No. 216

Lattice parameters (Å, degrees): 6.241 6.241 6.241 60.00 60.00 60.00
Fractional positions:
Y (0.875, 0.375, 0.375)
Y (0.375, 0.375, 0.875)
Y (0.375, 0.875, 0.375)
Y (0.375, 0.375, 0.375)
Hg (0.000, 0.000, 0.000)
As (0.750, 0.750, 0.750)

***

Computed, not measured: YHgAs2 after structural relaxation at the PBE level of DFT.

## Properties
Volume   98.26 Å³/f.u.
ΔH_f (0 K)   -0.40 eV per atom
SG   R-3m, No. 166

Lattice parameters (Å, degrees): 6.682 6.682 6.682 37.31 37.31 37.31
Fractional positions:
Y (0.750, 0.750, 0.750)
As (0.001, 0.001, 0.001)
As (0.499, 0.499, 0.499)
Hg (0.250, 0.250, 0.250)

***

Computed, not measured: YHgAs2 after structural relaxation at the PBE level of DFT.

## Properties
Volume   101.68 Å³/f.u.
ΔH_f (0 K)   -0.43 eV per atom
SG   C2/m, No. 12

Lattice parameters (Å, degrees): 5.522 5.522 5.458 82.57 82.57 38.09
Fractional positions:
Y (0.250, 0.250, 0.250)
As (0.991, 0.991, 0.090)
As (0.509, 0.509, 0.410)
Hg (0.750, 0.750, 0.750)

***

Computed, not measured: Y2HgAs after structural relaxation at the PBE level of DFT.

## Properties
Volume   107.19 Å³/f.u.
ΔH_f (0 K)   -0.95 eV per atom
Excess energy over the best structure of this formula in the dataset   0 meV per atom
SG   R-3m, No. 166

Lattice parameters (Å, degrees): 4.021 4.021 8.000 75.43 75.43 60.02
Fractional positions:
Y (0.011, 0.011, 0.967)
Y (0.489, 0.489, 0.533)
As (0.750, 0.750, 0.750)
Hg (0.250, 0.250, 0.250)